(1)
First-principles (PBE-GGA) data for crystalline Sm4AlAg3 at its relaxed geometry, as listed in the Alexandria database.

Results
**SG**: Pmm2, No. 25
**Volume**: 209 Å³/f.u.
**E above lowest polymorph**: 39 meV/atom
**Energy relative to the elements**: -265 meV per atom

a = 3.7197 Å, b = 4.7842 Å, c = 11.7217 Å
α = 90.00°, β = 90.00°, γ = 90.00°
Fractional coordinates of all 8 atoms:
1 Sm 0.5000 0.5000 0.3501
2 Sm 0.0000 0.5000 0.8495
3 Sm 0.0000 0.0000 0.1517
4 Sm 0.5000 0.0000 0.6463
5 Al 0.5000 0.5000 0.0732
6 Ag 0.0000 0.5000 0.5746
7 Ag 0.0000 0.0000 0.4257
8 Ag 0.5000 0.0000 0.9289

(2)
First-principles (PBE-GGA) data for crystalline Ta2Ge2F at its relaxed geometry, as listed in the Alexandria database.

Results
**SG**: I4/mmm, No. 139
**Volume**: 101 Å³/f.u.
**E above lowest polymorph**: 316 meV/atom

a = 4.5316 Å, b = 4.5316 Å, c = 5.8699 Å
α = 67.29°, β = 67.29°, γ = 90.00°
Fractional coordinates of all 5 atoms:
1 Ge 0.3759 0.3759 0.2483
2 Ge 0.6241 0.6241 0.7517
3 F 0.0000 0.0000 0.0000
4 Ta 0.7500 0.2500 0.5000
5 Ta 0.2500 0.7500 0.5000

(3)
First-principles (PBE-GGA) data for crystalline PaNb2Co at its relaxed geometry, as listed in the Alexandria database.

Results
**SG**: R-3m, No. 166
**Volume**: 73 Å³/f.u.
**Energy relative to the elements**: 457 meV per atom

a = 2.9522 Å, b = 2.9522 Å, c = 9.8803 Å
α = 81.41°, β = 81.41°, γ = 60.00°
Each line ends with the local moment (μB).
Fractional coordinates of all 4 atoms:
1 Nb 0.0974 0.0974 0.7077  -0.01
2 Nb 0.9026 0.9026 0.2923  -0.01
3 Pa 0.0000 0.0000 0.0000  -0.01
4 Co 0.5000 0.5000 0.5000  0.37

(4)
First-principles (PBE-GGA) data for crystalline TePbAu2 at its relaxed geometry, as listed in the Alexandria database.

Results
**SG**: Fm-3m, No. 225
**Volume**: 96 Å³/f.u.
**E above lowest polymorph**: 116 meV/atom

a = 5.1367 Å, b = 5.1367 Å, c = 5.1367 Å
α = 60.00°, β = 60.00°, γ = 60.00°
Fractional coordinates of all 4 atoms:
1 Pb 0.5000 0.5000 0.5000
2 Te 0.0000 0.0000 0.0000
3 Au 0.2500 0.2500 0.2500
4 Au 0.7500 0.7500 0.7500

(5)
First-principles (PBE-GGA) data for crystalline KReAu2 at its relaxed geometry, as listed in the Alexandria database.

Results
**SG**: C2/m, No. 12
**Volume**: 90 Å³/f.u.
**E above lowest polymorph**: 124 meV/atom
**Energy relative to the elements**: 606 meV per atom

a = 4.6817 Å, b = 4.6817 Å, c = 7.3636 Å
α = 85.52°, β = 85.52°, γ = 33.91°
Each line ends with the local moment (μB).
Fractional coordinates of all 4 atoms:
1 Au 0.9897 0.9897 0.0687  0.04
2 Au 0.5103 0.5103 0.4313  0.04
3 K 0.7500 0.7500 0.7500  0.00
4 Re 0.2500 0.2500 0.2500  0.67

(6)
First-principles (PBE-GGA) data for crystalline HfBe9Pd2 at its relaxed geometry, as listed in the Alexandria database.

Results
**SG**: R-3m, No. 166
**Volume**: 121 Å³/f.u.
**Energy relative to the elements**: -339 meV per atom

a = 4.4551 Å, b = 4.4551 Å, c = 7.4939 Å
α = 72.71°, β = 72.71°, γ = 60.00°
Fractional coordinates of all 12 atoms:
1 Hf 0.0000 0.0000 0.0000
2 Be 0.6677 0.6677 0.9969
3 Be 0.3323 0.3323 0.0031
4 Be 0.5000 0.5000 0.5000
5 Be 0.4152 0.4152 0.2531
6 Be 0.9165 0.4152 0.2531
7 Be 0.4152 0.9165 0.2531
8 Be 0.5848 0.5848 0.7469
9 Be 0.5848 0.0835 0.7469
10 Be 0.0835 0.5848 0.7469
11 Pd 0.8624 0.8624 0.4129
12 Pd 0.1376 0.1376 0.5871

(7)
First-principles (PBE-GGA) data for crystalline Ta2HgAs2 at its relaxed geometry, as listed in the Alexandria database.

Results
**SG**: I4/mmm, No. 139
**Volume**: 109 Å³/f.u.
**E above lowest polymorph**: 451 meV/atom
**Energy relative to the elements**: 291 meV per atom

a = 4.5080 Å, b = 4.5080 Å, c = 6.2368 Å
α = 68.81°, β = 68.81°, γ = 90.00°
Fractional coordinates of all 5 atoms:
1 As 0.7500 0.2500 0.5000
2 As 0.2500 0.7500 0.5000
3 Hg 0.0000 0.0000 0.0000
4 Ta 0.3734 0.3734 0.2532
5 Ta 0.6266 0.6266 0.7468

(8)
First-principles (PBE-GGA) data for crystalline Gd2Ni17 at its relaxed geometry, as listed in the Alexandria database.

Results
**SG**: P6_3/mmc, No. 194
**Volume**: 241 Å³/f.u.
**Energy relative to the elements**: -186 meV per atom

a = 8.3143 Å, b = 8.3143 Å, c = 8.0376 Å
α = 90.00°, β = 90.00°, γ = 120.00°
Each line ends with the local moment (μB).
Fractional coordinates of all 38 atoms:
1 Gd 0.0000 0.0000 0.2500  6.88
2 Gd 0.0000 0.0000 0.7500  6.88
3 Gd 0.6667 0.3333 0.2500  6.87
4 Gd 0.3333 0.6667 0.7500  6.87
5 Ni 0.0445 0.6719 0.2500  0.45
6 Ni 0.3321 0.1660 0.0206  0.43
7 Ni 0.8340 0.6679 0.0206  0.43
8 Ni 0.5000 0.0000 0.0000  0.50
9 Ni 0.6667 0.3333 0.6024  0.41
10 Ni 0.1660 0.8340 0.5206  0.43
11 Ni 0.6719 0.0445 0.7500  0.45
12 Ni 0.3726 0.3281 0.7500  0.45
13 Ni 0.9555 0.6274 0.7500  0.45
14 Ni 0.1660 0.3321 0.9794  0.43
15 Ni 0.3333 0.6667 0.3976  0.41
16 Ni 0.6679 0.8340 0.5206  0.43
17 Ni 0.1660 0.8340 0.9794  0.43
18 Ni 0.3281 0.9555 0.2500  0.45
19 Ni 0.0000 0.5000 0.5000  0.50
20 Ni 0.8340 0.6679 0.4794  0.43
21 Ni 0.3726 0.0445 0.7500  0.45
22 Ni 0.3333 0.6667 0.1024  0.41
23 Ni 0.9555 0.3281 0.7500  0.45
24 Ni 0.6679 0.8340 0.9794  0.43
25 Ni 0.6274 0.6719 0.2500  0.45
26 Ni 0.1660 0.3321 0.5206  0.43
27 Ni 0.0000 0.5000 0.0000  0.50
28 Ni 0.8340 0.1660 0.4794  0.43
29 Ni 0.6719 0.6274 0.7500  0.45
30 Ni 0.6274 0.9555 0.2500  0.45
31 Ni 0.8340 0.1660 0.0206  0.43
32 Ni 0.3321 0.1660 0.4794  0.43
33 Ni 0.6667 0.3333 0.8976  0.41
34 Ni 0.0445 0.3726 0.2500  0.45
35 Ni 0.3281 0.3726 0.2500  0.45
36 Ni 0.5000 0.5000 0.0000  0.50
37 Ni 0.5000 0.0000 0.5000  0.50
38 Ni 0.5000 0.5000 0.5000  0.50